Below is crystalline Tm5Te3 at its relaxed geometry, with properties calculated at the PBE level.

Calculated values
For the total energy, the calculation gives -4.797 eV/atom. As for the density of states at the Fermi level: 0.4819 states/eV/atom. For the volume, the calculation gives 417.68 Å³ per cell. The value obtained for the formation energy (no corrections) is -80 kJ per mole of atoms. The calculation puts the spin magnetization at 0.000 Bohr magnetons per cell.

Lattice parameters (Å, degrees): 8.935 8.935 6.041 90.00 90.00 120.00
Element x y z (fractional)
1 Tm 0.000 0.255 0.250
2 Tm 0.000 0.745 0.750
3 Tm 0.255 0.000 0.250
4 Tm 0.255 0.255 0.750
5 Tm 0.333 0.667 0.000
6 Tm 0.333 0.667 0.500
7 Tm 0.667 0.333 0.000
8 Tm 0.667 0.333 0.500
9 Tm 0.745 0.000 0.750
10 Tm 0.745 0.745 0.250
11 Te 0.000 0.385 0.750
12 Te 0.000 0.615 0.250
13 Te 0.385 0.000 0.750
14 Te 0.385 0.385 0.250
15 Te 0.615 0.000 0.250
16 Te 0.615 0.615 0.750